No. 1
! CoCu | Alexandria via LeMat-Bulk | PBE | optimized geometry; values from VASP
&SYSTEM
  ibrav = 0, nat = 4, ntyp = 2
/
ATOMIC_SPECIES
Co 58.93 Co.upf
Cu 63.55 Cu.upf
CELL_PARAMETERS angstrom
3.636 0.000 0.000
-1.818 3.149 0.000
0.000 0.000 4.763
ATOMIC_POSITIONS angstrom
Co 0.000 2.099 1.191
Co 1.818 1.050 3.572
Cu 0.000 0.000 0.000
Cu 0.000 0.000 2.381
! Electronic total energy in eV for the cell shown: -19.20

***

No. 2
! CoCu2 | Alexandria via LeMat-Bulk | PBE | optimized geometry; values from VASP
&SYSTEM
  ibrav = 0, nat = 6, ntyp = 2
/
ATOMIC_SPECIES
Co 58.93 Co.upf
Cu 63.55 Cu.upf
CELL_PARAMETERS angstrom
1.257 -6.724 0.000
1.257 6.724 0.000
0.000 0.000 4.119
ATOMIC_POSITIONS angstrom
Co 1.257 3.708 3.089
Co 1.257 -3.708 1.030
Cu 1.257 5.215 1.030
Cu 1.257 0.756 1.030
Cu 1.257 -0.756 3.089
Cu 1.257 -5.215 3.089
! Electronic total energy in eV for the cell shown: -30.02

***

No. 3
! CoCu | Alexandria via LeMat-Bulk | PBE | optimized geometry; values from VASP
&SYSTEM
  ibrav = 0, nat = 12, ntyp = 2
/
ATOMIC_SPECIES
Co 58.93 Co.upf
Cu 63.55 Cu.upf
CELL_PARAMETERS angstrom
8.353 0.000 0.000
-4.177 7.234 0.000
0.000 0.000 2.443
ATOMIC_POSITIONS angstrom
Co -1.007 3.862 0.611
Co -0.329 6.175 0.611
Co 1.335 4.431 0.611
Co 2.842 2.803 1.832
Co 4.505 1.059 1.832
Co 5.183 3.372 1.832
Cu -2.767 5.585 0.611
Cu 0.723 2.045 0.611
Cu 2.133 0.397 1.832
Cu 2.044 6.838 0.611
Cu 3.454 5.189 1.832
Cu 6.943 1.649 1.832
! Electronic total energy in eV for the cell shown: -63.49

***

No. 4
! Co4Cu3 | Alexandria via LeMat-Bulk | PBE | optimized geometry; values from VASP
&SYSTEM
  ibrav = 0, nat = 7, ntyp = 2
/
ATOMIC_SPECIES
Co 58.93 Co.upf
Cu 63.55 Cu.upf
CELL_PARAMETERS angstrom
-1.271 1.271 12.332
1.271 -1.271 12.332
1.271 1.271 -12.332
ATOMIC_POSITIONS angstrom
Co 0.000 0.000 1.821
Co 0.000 0.000 8.917
Co 0.000 0.000 15.747
Co 0.000 0.000 22.843
Cu 0.000 0.000 5.248
Cu 0.000 0.000 12.332
Cu 0.000 0.000 19.417
! Electronic total energy in eV for the cell shown: -40.04
! Energy relative to the lowest polymorph listed for this composition in eV per atom: 0.0000